Arrangement P

A plane-wave DFT calculation with PBE was carried out for a relaxed structure of Ba2BiOsS6.

The structure in CIF format:
```
data_Ba2BiOsS6
_symmetry_space_group_name_H-M 'P -1'
_symmetry_Int_Tables_number 2
_cell_length_a 6.851
_cell_length_b 6.897
_cell_length_c 7.160
_cell_angle_alpha 62.40
_cell_angle_beta 63.53
_cell_angle_gamma 61.95
loop_
_symmetry_equiv_pos_as_xyz
'x,y,z'
'-x,-y,-z'
loop_
_atom_site_label
_atom_site_type_symbol
_atom_site_fract_x
_atom_site_fract_y
_atom_site_fract_z
Ba1 Ba 0.250 0.248 0.258
Bi1 Bi 0.000 0.000 0.000
Os1 Os 0.500 0.500 0.500
S1 S 0.209 0.325 0.681
S2 S 0.244 0.794 0.669
S3 S 0.353 0.731 0.188
```


Arrangement Q

A plane-wave DFT calculation with PBE was carried out for a relaxed structure of Ba2BiOsS6.

The structure in CIF format:
```
data_Ba2BiOsS6
_symmetry_space_group_name_H-M 'F m -3 m'
_symmetry_Int_Tables_number 225
_symmetry_space_group_name_Hall '-F 4 2 3'
_cell_length_a 10.078
_cell_length_b 10.078
_cell_length_c 10.078
_cell_angle_alpha 90.00
_cell_angle_beta 90.00
_cell_angle_gamma 90.00
loop_
_atom_site_label
_atom_site_type_symbol
_atom_site_fract_x
_atom_site_fract_y
_atom_site_fract_z
Ba1 Ba 0.250 0.250 0.250
Bi1 Bi 0.000 0.000 0.000
Os1 Os 0.000 0.000 0.500
S1 S 0.000 0.000 0.266
```


So which one wins? Going from most stable to least: arrangement P, arrangement Q.


Arrangement P

A plane-wave DFT calculation with PBE was carried out for a relaxed structure of BaBi2PdPt.

The structure in CIF format:
```
data_BaBi2PdPt
_symmetry_space_group_name_H-M 'P 1 21/m 1'
_symmetry_Int_Tables_number 11
_cell_length_a 5.022
_cell_length_b 4.938
_cell_length_c 10.937
_cell_angle_alpha 90.00
_cell_angle_beta 91.55
_cell_angle_gamma 90.00
loop_
_symmetry_equiv_pos_as_xyz
'x,y,z'
'-x,-y,-z'
'-x,y+1/2,-z'
'x,-y+1/2,z'
loop_
_atom_site_label
_atom_site_type_symbol
_atom_site_fract_x
_atom_site_fract_y
_atom_site_fract_z
Ba1 Ba 0.237 0.250 0.242
Bi1 Bi 0.253 0.750 0.498
Bi2 Bi 0.291 0.250 0.881
Pd1 Pd 0.190 0.750 0.999
Pt1 Pt 0.254 0.250 0.626
```


Arrangement Q

A plane-wave DFT calculation with PBE was carried out for a relaxed structure of BaBi2PdPt.

The structure in CIF format:
```
data_BaBi2PdPt
_symmetry_space_group_name_H-M 'P 1 21/m 1'
_symmetry_Int_Tables_number 11
_cell_length_a 5.080
_cell_length_b 4.915
_cell_length_c 10.886
_cell_angle_alpha 90.00
_cell_angle_beta 92.15
_cell_angle_gamma 90.00
loop_
_symmetry_equiv_pos_as_xyz
'x,y,z'
'-x,-y,-z'
'-x,y+1/2,-z'
'x,-y+1/2,z'
loop_
_atom_site_label
_atom_site_type_symbol
_atom_site_fract_x
_atom_site_fract_y
_atom_site_fract_z
Ba1 Ba 0.239 0.250 0.242
Bi1 Bi 0.250 0.750 0.497
Bi2 Bi 0.306 0.250 0.885
Pd1 Pd 0.256 0.250 0.626
Pt1 Pt 0.179 0.750 0.999
```


So which one wins? Going from most stable to least: arrangement P, arrangement Q.


Arrangement P

A plane-wave DFT calculation with PBE was carried out for a relaxed structure of BaSnBiPd2.

The structure in CIF format:
```
data_BaSnBiPd2
_symmetry_space_group_name_H-M 'P 1 21/m 1'
_symmetry_Int_Tables_number 11
_cell_length_a 5.007
_cell_length_b 4.877
_cell_length_c 10.639
_cell_angle_alpha 90.00
_cell_angle_beta 92.44
_cell_angle_gamma 90.00
loop_
_symmetry_equiv_pos_as_xyz
'x,y,z'
'-x,-y,-z'
'-x,y+1/2,-z'
'x,-y+1/2,z'
loop_
_atom_site_label
_atom_site_type_symbol
_atom_site_fract_x
_atom_site_fract_y
_atom_site_fract_z
Ba1 Ba 0.239 0.250 0.243
Sn1 Sn 0.298 0.250 0.897
Bi1 Bi 0.248 0.750 0.498
Pd1 Pd 0.188 0.750 0.998
Pd2 Pd 0.264 0.250 0.641
```


Arrangement Q

A plane-wave DFT calculation with PBE was carried out for a relaxed structure of BaSnBiPd2.

The structure in CIF format:
```
data_BaSnBiPd2
_symmetry_space_group_name_H-M 'P 4/n m m'
_symmetry_Int_Tables_number 129
_cell_length_a 4.808
_cell_length_b 4.808
_cell_length_c 11.068
_cell_angle_alpha 90.00
_cell_angle_beta 90.00
_cell_angle_gamma 90.00
loop_
_symmetry_equiv_pos_as_xyz
'x,y,z'
'-x,-y,-z'
'-y+1/2,x,z'
'y+1/2,-x,-z'
'-x+1/2,-y+1/2,z'
'x+1/2,y+1/2,-z'
'y,-x+1/2,z'
'-y,x+1/2,-z'
'x+1/2,-y,-z'
'-x+1/2,y,z'
'-y,-x,-z'
'y,x,z'
'-x,y+1/2,-z'
'x,-y+1/2,z'
'y+1/2,x+1/2,-z'
'-y+1/2,-x+1/2,z'
loop_
_atom_site_label
_atom_site_type_symbol
_atom_site_fract_x
_atom_site_fract_y
_atom_site_fract_z
Ba1 Ba 0.250 0.250 0.246
Sn1 Sn 0.250 0.750 0.500
Bi1 Bi 0.250 0.250 0.872
Pd1 Pd 0.250 0.250 0.619
Pd2 Pd 0.250 0.750 0.000
```


So which one wins? Going from most stable to least: arrangement P, arrangement Q.


Arrangement P

A plane-wave DFT calculation with PBE was carried out for a relaxed structure of BaBiSbPt2.

The structure in CIF format:
```
data_BaBiSbPt2
_symmetry_space_group_name_H-M 'P 1 21/m 1'
_symmetry_Int_Tables_number 11
_cell_length_a 5.015
_cell_length_b 4.862
_cell_length_c 10.719
_cell_angle_alpha 90.00
_cell_angle_beta 92.31
_cell_angle_gamma 90.00
loop_
_symmetry_equiv_pos_as_xyz
'x,y,z'
'-x,-y,-z'
'-x,y+1/2,-z'
'x,-y+1/2,z'
loop_
_atom_site_label
_atom_site_type_symbol
_atom_site_fract_x
_atom_site_fract_y
_atom_site_fract_z
Ba1 Ba 0.237 0.250 0.249
Bi1 Bi 0.304 0.250 0.878
Sb1 Sb 0.251 0.750 0.498
Pt1 Pt 0.178 0.750 0.998
Pt2 Pt 0.256 0.250 0.609
```


Arrangement Q

A plane-wave DFT calculation with PBE was carried out for a relaxed structure of BaBiSbPt2.

The structure in CIF format:
```
data_BaBiSbPt2
_symmetry_space_group_name_H-M 'P 1 21/m 1'
_symmetry_Int_Tables_number 11
_cell_length_a 4.938
_cell_length_b 4.821
_cell_length_c 10.879
_cell_angle_alpha 90.00
_cell_angle_beta 91.76
_cell_angle_gamma 90.00
loop_
_symmetry_equiv_pos_as_xyz
'x,y,z'
'-x,-y,-z'
'-x,y+1/2,-z'
'x,-y+1/2,z'
loop_
_atom_site_label
_atom_site_type_symbol
_atom_site_fract_x
_atom_site_fract_y
_atom_site_fract_z
Ba1 Ba 0.244 0.250 0.239
Bi1 Bi 0.251 0.750 0.498
Sb1 Sb 0.292 0.250 0.886
Pt1 Pt 0.192 0.750 0.999
Pt2 Pt 0.255 0.250 0.640
```


So which one wins? Going from most stable to least: arrangement Q, arrangement P.


Arrangement P

A plane-wave DFT calculation with PBE was carried out for a relaxed structure of BaCdCoS3.

The structure in CIF format:
```
data_BaCdCoS3
_symmetry_space_group_name_H-M 'C m c m'
_symmetry_Int_Tables_number 63
_symmetry_space_group_name_Hall '-C 2c 2'
_cell_length_a 4.094
_cell_length_b 13.810
_cell_length_c 9.682
_cell_angle_alpha 90.00
_cell_angle_beta 90.00
_cell_angle_gamma 90.00
loop_
_atom_site_label
_atom_site_type_symbol
_atom_site_fract_x
_atom_site_fract_y
_atom_site_fract_z
Ba1 Ba 0.000 0.240 0.250
Cd1 Cd 0.000 0.481 0.750
Co1 Co 0.000 0.000 0.000
S1 S 0.000 0.083 0.750
S2 S 0.000 0.376 0.541
```


Arrangement Q

A plane-wave DFT calculation with PBE was carried out for a relaxed structure of BaCdCoS3.

The structure in CIF format:
```
data_BaCdCoS3
_symmetry_space_group_name_H-M 'C m c m'
_symmetry_Int_Tables_number 63
_symmetry_space_group_name_Hall '-C 2c 2'
_cell_length_a 4.021
_cell_length_b 13.449
_cell_length_c 10.235
_cell_angle_alpha 90.00
_cell_angle_beta 90.00
_cell_angle_gamma 90.00
loop_
_atom_site_label
_atom_site_type_symbol
_atom_site_fract_x
_atom_site_fract_y
_atom_site_fract_z
Ba1 Ba 0.000 0.242 0.250
Cd1 Cd 0.000 0.500 0.000
Co1 Co 0.000 0.033 0.750
S1 S 0.000 0.131 0.568
S2 S 0.000 0.441 0.750
```


So which one wins? Going from most stable to least: arrangement Q, arrangement P.


Arrangement P

A plane-wave DFT calculation with PBE was carried out for a relaxed structure of BaCdCoSe3.

The structure in CIF format:
```
data_BaCdCoSe3
_symmetry_space_group_name_H-M 'C m c m'
_symmetry_Int_Tables_number 63
_symmetry_space_group_name_Hall '-C 2c 2'
_cell_length_a 4.216
_cell_length_b 14.351
_cell_length_c 10.113
_cell_angle_alpha 90.00
_cell_angle_beta 90.00
_cell_angle_gamma 90.00
loop_
_atom_site_label
_atom_site_type_symbol
_atom_site_fract_x
_atom_site_fract_y
_atom_site_fract_z
Ba1 Ba 0.000 0.238 0.250
Cd1 Cd 0.000 0.476 0.750
Co1 Co 0.000 0.000 0.000
Se1 Se 0.000 0.082 0.750
Se2 Se 0.000 0.374 0.537
```


Arrangement Q

A plane-wave DFT calculation with PBE was carried out for a relaxed structure of BaCdCoSe3.

The structure in CIF format:
```
data_BaCdCoSe3
_symmetry_space_group_name_H-M 'C m c m'
_symmetry_Int_Tables_number 63
_symmetry_space_group_name_Hall '-C 2c 2'
_cell_length_a 4.189
_cell_length_b 13.868
_cell_length_c 10.712
_cell_angle_alpha 90.00
_cell_angle_beta 90.00
_cell_angle_gamma 90.00
loop_
_atom_site_label
_atom_site_type_symbol
_atom_site_fract_x
_atom_site_fract_y
_atom_site_fract_z
Ba1 Ba 0.000 0.244 0.250
Cd1 Cd 0.000 0.500 0.000
Co1 Co 0.000 0.035 0.750
Se1 Se 0.000 0.134 0.565
Se2 Se 0.000 0.440 0.750
```


So which one wins? Going from most stable to least: arrangement Q, arrangement P.